[1]
The following is a PBE with a Hubbard U calculation of a relaxed structure of Na2CrBO4, from Alexandria.

As for the total energy: -6.262 eV/atom. As for the total moment: 3.00 μB per formula unit.

It has space group Fddd (No. 70, origin choice 2), with a = 4.763 Å, b = 10.340 Å, c = 18.732 Å, α = 90.00°, β = 90.00° and γ = 90.00°. The asymmetric unit holds Na at (0.125, 0.125, 0.312), Cr at (0.125, 0.125, 0.125), B at (0.125, 0.125, 0.625) and O at (0.068, 0.290, 0.833).

---

[2]
The following is a PBE with a Hubbard U calculation of a relaxed structure of NaCrBO3, from Alexandria.

As for the total energy: -6.968 eV/atom. As for the total moment: 4.00 μB per formula unit.

It has space group Cmcm (No. 63), with a = 2.774 Å, b = 10.404 Å, c = 10.229 Å, α = 90.00°, β = 90.00° and γ = 90.00°. The asymmetric unit holds Na at (0.000, 0.210, 0.250), Cr at (0.000, 0.000, 0.000), B at (0.000, 0.476, 0.250), O at (0.000, 0.106, 0.750) and O at (0.000, 0.444, 0.632).

---

[3]
The following is a PBE with a Hubbard U calculation of a relaxed structure of Na3CrB2O6, from Alexandria.

As for the total energy: -6.656 eV/atom. As for the total moment: 3.00 μB per formula unit. For the distance to the lowest polymorph of the same formula, the calculation gives 0 meV/atom.

It has space group P2_1/c (No. 14), with a = 5.526 Å, b = 9.186 Å, c = 11.425 Å, α = 90.00°, β = 114.38° and γ = 90.00°. The asymmetric unit holds Na at (0.009, 0.062, 0.375), Na at (0.049, 0.128, 0.874), Na at (0.457, 0.548, 0.628), Cr at (0.466, 0.717, 0.879), B at (0.037, 0.703, 0.385), B at (0.465, 0.635, 0.136), O at (0.094, 0.662, 0.849), O at (0.183, 0.170, 0.093), O at (0.238, 0.601, 0.399), O at (0.338, 0.734, 0.188), O at (0.389, 0.193, 0.427) and O at (0.425, 0.012, 0.648).

---

[4]
The following is a PBE with a Hubbard U calculation of a relaxed structure of Na3CrB2O6, from Alexandria.

As for the total energy: -6.638 eV/atom. As for the total moment: 3.03 μB per formula unit. For the distance to the lowest polymorph of the same formula, the calculation gives 18 meV/atom.

It has space group P-3m1 (No. 164), with a = 5.1429 Å, b = 5.1429 Å, c = 6.0380 Å, α = 90.00°, β = 90.00° and γ = 120.00°. The asymmetric unit holds Na at (0.0000, 0.0000, 0.0000), Na at (0.3333, 0.6667, 0.7414), Cr at (0.0000, 0.0000, 0.5000), B at (0.3333, 0.6667, 0.2952) and O at (0.1781, 0.3561, 0.2902).

---

Repeat the second record exactly.
The following is a PBE with a Hubbard U calculation of a relaxed structure of NaCrBO3, from Alexandria.

As for the total energy: -6.968 eV/atom. As for the total moment: 4.00 μB per formula unit.

It has space group Cmcm (No. 63), with a = 2.774 Å, b = 10.404 Å, c = 10.229 Å, α = 90.00°, β = 90.00° and γ = 90.00°. The asymmetric unit holds Na at (0.000, 0.210, 0.250), Cr at (0.000, 0.000, 0.000), B at (0.000, 0.476, 0.250), O at (0.000, 0.106, 0.750) and O at (0.000, 0.444, 0.632).